K3U2Se6 | GGA-PBE | optimized geometry

a b c (Å): 5.4392 5.4392 13.8693
angles (deg): 101.31 101.31 90.00
Element x y z (fractional)
U 0.5978 0.5978 0.1956
U 0.4022 0.4022 0.8044
Se 0.4191 0.9191 0.8383
Se 0.0809 0.5809 0.1617
Se 0.6945 0.6945 0.3890
Se 0.9191 0.4191 0.8383
Se 0.3055 0.3055 0.6110
Se 0.5809 0.0809 0.1617
K 0.8194 0.8194 0.6389
K 0.0000 0.0000 0.0000
K 0.1806 0.1806 0.3611

Properties
Mass density in Mg/m³: 4.49
Total energy in eV per atom: -5.36
Size of the total moment in μB/atom: 0.27
Space group: I4/mmm, No. 139

---

K2U3Se8 | GGA-PBE | optimized geometry

a b c (Å): 4.7427 10.1616 9.6303
angles (deg): 121.83 90.00 90.00
Element x y z (fractional)
Se 0.0000 0.3947 0.7893
Se 0.5000 0.6639 0.8010
Se 0.0000 0.6053 0.2107
Se 0.0000 0.0979 0.1956
Se 0.5000 0.1370 0.8008
Se 0.5000 0.8630 0.1992
Se 0.0000 0.9021 0.8044
Se 0.5000 0.3361 0.1990
U 0.0000 0.2875 0.9999
U 0.0000 0.7125 0.0001
U 0.5000 0.0000 0.0000
K 0.5000 0.2587 0.5172
K 0.5000 0.7413 0.4828

Properties
Mass density in Mg/m³: 6.00
Total energy in eV per atom: -6.02
Size of the total moment in μB/atom: 0.31
Space group: Cmmm, No. 65

---

KU4Se8 | GGA-PBE | optimized geometry

a b c (Å): 8.2595 8.2595 9.2259
angles (deg): 102.51 103.39 119.96
Element x y z (fractional)
U 0.7520 0.7520 0.0000
U 0.2480 0.2480 0.0000
U 0.2554 0.7566 0.0121
U 0.7446 0.2434 0.9879
Se 0.8216 0.9859 0.8076
Se 0.1784 0.0141 0.1924
Se 0.3208 0.4949 0.8157
Se 0.6792 0.5051 0.1843
Se 0.3136 0.9817 0.8101
Se 0.8284 0.4964 0.8101
Se 0.1716 0.5036 0.1899
Se 0.6864 0.0183 0.1899
K 0.0000 0.5000 0.5000

Properties
Mass density in Mg/m³: 5.53
Total energy in eV per atom: -6.90
Size of the total moment in μB/atom: 0.69
Space group: C2/m, No. 12

---

KU4Se8 | GGA-PBE | optimized geometry

a b c (Å): 8.6003 8.6003 8.6003
angles (deg): 60.00 60.00 60.00
Element x y z (fractional)
Se 0.1797 0.6068 0.6068
Se 0.1377 0.1377 0.5869
Se 0.1377 0.1377 0.1377
Se 0.6068 0.6068 0.6068
Se 0.1377 0.5869 0.1377
Se 0.6068 0.1797 0.6068
Se 0.6068 0.6068 0.1797
Se 0.5869 0.1377 0.1377
U 0.3727 0.3727 0.3727
U 0.3727 0.8819 0.3727
U 0.3727 0.3727 0.8819
U 0.8819 0.3727 0.3727
K 0.7500 0.7500 0.7500

Properties
Mass density in Mg/m³: 5.99
Total energy in eV per atom: -6.84
Size of the total moment in μB/atom: 0.69
Space group: F-43m, No. 216

---

K3U2Se8 | GGA-PBE | optimized geometry

a b c (Å): 4.7125 9.3839 9.4742
angles (deg): 119.69 90.00 90.00
Element x y z (fractional)
K 0.5000 0.0000 0.0000
K 0.0000 0.2906 0.0000
K 0.0000 0.7094 0.0000
Se 0.5000 0.5996 0.7030
Se 0.5000 0.4004 0.2970
Se 0.5000 0.8966 0.2970
Se 0.0000 0.3444 0.6888
Se 0.5000 0.1034 0.7030
Se 0.0000 0.1430 0.2859
Se 0.0000 0.6556 0.3112
Se 0.0000 0.8570 0.7141
U 0.5000 0.2486 0.4973
U 0.5000 0.7514 0.5027

Properties
Mass density in Mg/m³: 5.59
Total energy in eV per atom: -5.04
Size of the total moment in μB/atom: 0.10
Space group: Cmmm, No. 65

---

KUSe3 | GGA-PBE | optimized geometry

a b c (Å): 5.4606 5.4606 5.4606
angles (deg): 90.00 90.00 90.00
Element x y z (fractional)
Se 0.0000 0.0000 0.5000
Se 0.5000 0.0000 0.0000
Se 0.0000 0.5000 0.0000
U 0.0000 0.0000 0.0000
K 0.5000 0.5000 0.5000

Properties
Mass density in Mg/m³: 5.24
Total energy in eV per atom: -5.73
Size of the total moment in μB/atom: 0.20
Space group: Pm-3m, No. 221

---

K2USe5 | GGA-PBE | optimized geometry

a b c (Å): 6.3821 8.0087 7.5042
angles (deg): 122.25 115.17 90.00
Element x y z (fractional)
Se 0.7504 0.7506 0.5009
Se 0.2951 0.2455 0.0198
Se 0.7247 0.2455 0.0198
Se 0.7246 0.7741 0.0195
Se 0.2950 0.7741 0.0195
K 0.7820 0.2819 0.5641
K 0.2211 0.7211 0.4423
U 0.9840 0.9840 0.9681

Properties
Mass density in Mg/m³: 4.21
Total energy in eV per atom: -4.64
Size of the total moment in μB/atom: 0.00
Space group: Imm2, No. 44

---

KU2Se4 | GGA-PBE | optimized geometry

a b c (Å): 4.1698 7.2272 14.3099
angles (deg): 90.00 90.00 106.77
Element x y z (fractional)
Se 0.5000 0.0000 0.5000
Se 0.7657 0.5315 0.1103
Se 0.2343 0.4685 0.8897
Se 0.2343 0.4685 0.6103
Se 0.9258 0.8517 0.7500
Se 0.0742 0.1483 0.2500
Se 0.7657 0.5315 0.3897
Se 0.5000 0.0000 0.0000
U 0.8661 0.7322 0.9353
U 0.1339 0.2678 0.4353
U 0.8661 0.7322 0.5647
U 0.1339 0.2678 0.0647
K 0.3934 0.7868 0.2500
K 0.6066 0.2132 0.7500

Properties
Mass density in Mg/m³: 6.68
Total energy in eV per atom: -6.57
Size of the total moment in μB/atom: 0.71
Space group: Cmcm, No. 63